Entry A
A relaxed structure of Pm2ZnBi. Source: Alexandria via LeMat-Bulk, functional PBE.

Values from the calculation:
Magnetization: 0.0 μB/cell

Cell lengths 4.013, 4.013, 6.873 Å; angles 90.00, 90.00, 90.00 degrees
Space group P4/mmm (No. 123)
Symmetry-distinct sites (fractional):
Pm: 0.000 0.000 0.243
Zn: 0.500 0.500 0.000
Bi: 0.500 0.500 0.500

***

Entry B
A relaxed structure of Pm2ZnBi. Source: Alexandria via LeMat-Bulk, functional PBE.

Values from the calculation:
Magnetization: 1.5 μB/cell

Cell lengths 4.1939, 4.1939, 30.4494 Å; angles 90.00, 90.00, 120.00 degrees
Space group R-3m (No. 166, hexagonal axes)
Symmetry-distinct sites (fractional):
Pm: 0.0000 0.0000 0.1014
Zn: 0.0000 0.0000 0.0000
Bi: 0.0000 0.0000 0.5000

***

entry A (577 meV/atom below the next structure)

***

Entry A
A relaxed structure of Pm2ZrBi. Source: Alexandria via LeMat-Bulk, functional PBE.

Values from the calculation:
Magnetization: 0.0 μB/cell

Cell lengths 4.845, 4.845, 4.777 Å; angles 90.00, 90.00, 90.00 degrees
Space group P4/mmm (No. 123)
Symmetry-distinct sites (fractional):
Pm: 0.000 0.500 0.000
Zr: 0.000 0.000 0.500
Bi: 0.500 0.500 0.500

***

Entry B
A relaxed structure of Pm2ZrBi. Source: Alexandria via LeMat-Bulk, functional PBE.

Values from the calculation:
Magnetization: 0.0 μB/cell

Cell lengths 3.4666, 3.4666, 35.9447 Å; angles 90.00, 90.00, 120.00 degrees
Space group R-3m (No. 166, hexagonal axes)
Symmetry-distinct sites (fractional):
Pm: 0.0000 0.0000 0.0915
Zr: 0.0000 0.0000 0.5000
Bi: 0.0000 0.0000 0.0000

***

entry A (320 meV/atom below the next structure)

***

Entry A
A relaxed structure of PmZrBi. Source: Alexandria via LeMat-Bulk, functional PBE.

Values from the calculation:
Magnetization: 0.0 μB/cell

Cell lengths 3.912, 3.912, 10.931 Å; angles 90.00, 90.00, 90.00 degrees
Space group I4mm (No. 107)
Symmetry-distinct sites (fractional):
Pm: 0.000 0.000 0.000
Zr: 0.000 0.000 0.683
Bi: 0.000 0.000 0.315

***

Entry B
A relaxed structure of PmZrBi. Source: Alexandria via LeMat-Bulk, functional PBE.

Values from the calculation:
Magnetization: 0.0 μB/cell

Cell lengths 4.437, 4.437, 8.558 Å; angles 90.00, 90.00, 90.00 degrees
Space group P4/nmm (No. 129, origin choice 2)
Symmetry-distinct sites (fractional):
Pm: 0.250 0.250 0.149
Zr: 0.250 0.750 0.500
Bi: 0.250 0.250 0.760

***

entry B (262 meV/atom below the next structure)

***

Entry A
A relaxed structure of PmZrBi. Source: Alexandria via LeMat-Bulk, functional PBE.

Values from the calculation:
Magnetization: 2.8 μB/cell

Cell lengths 4.336, 4.336, 9.679 Å; angles 90.00, 90.00, 90.00 degrees
Space group P4/nmm (No. 129, origin choice 2)
Symmetry-distinct sites (fractional):
Pm: 0.250 0.250 0.219
Zr: 0.250 0.250 0.563
Bi: 0.250 0.250 0.875

***

Entry B
A relaxed structure of PmZrBi. Source: Alexandria via LeMat-Bulk, functional PBE.

Values from the calculation:
Magnetization: 0.0 μB/cell

Cell lengths 5.2495, 5.2495, 3.5805 Å; angles 90.00, 90.00, 120.00 degrees
Space group P3m1 (No. 156)
Symmetry-distinct sites (fractional):
Pm: 0.0000 0.0000 0.0000
Zr: 0.3333 0.6667 0.5004
Bi: 0.6667 0.3333 0.4988

***

entry A (116 meV/atom below the next structure)

***

Entry A
A relaxed structure of Pr3Bi2. Source: Alexandria via LeMat-Bulk, functional PBE.

Values from the calculation:
Magnetization: 0.0 μB/cell

Cell lengths 6.391, 6.391, 16.476 Å; angles 90.00, 90.00, 90.00 degrees
Space group I4_1/amd (No. 141, origin choice 2)
Symmetry-distinct sites (fractional):
Pr: 0.000 0.000 0.000
Pr: 0.000 0.250 0.375
Bi: 0.000 0.250 0.177

***

Entry B
A relaxed structure of Pr3Bi2. Source: Alexandria via LeMat-Bulk, functional PBE.

Values from the calculation:
Magnetization: 0.0 μB/cell

Cell lengths 9.085, 12.248, 6.540 Å; angles 90.00, 90.00, 90.00 degrees
Space group Ibam (No. 72)
Symmetry-distinct sites (fractional):
Pr: 0.000 0.000 0.250
Pr: 0.142 0.351 0.000
Bi: 0.215 0.387 0.500

***

entry A (15 meV/atom below the next structure)

***

Entry A
A relaxed structure of PrBi. Source: Alexandria via LeMat-Bulk, functional PBE.

Values from the calculation:
Magnetization: 0.0 μB/cell

Cell lengths 4.274, 4.274, 3.480 Å; angles 90.00, 90.00, 90.00 degrees
Space group P4/mmm (No. 123)
Symmetry-distinct sites (fractional):
Pr: 0.000 0.000 0.000
Bi: 0.500 0.500 0.500

***

Entry B
A relaxed structure of PrBi. Source: Alexandria via LeMat-Bulk, functional PBE.

Values from the calculation:
Magnetization: 0.0 μB/cell

Cell lengths 4.387, 12.419, 4.954 Å; angles 90.00, 90.00, 90.00 degrees
Space group Cmcm (No. 63)
Symmetry-distinct sites (fractional):
Pr: 0.000 0.125 0.250
Bi: 0.000 0.387 0.250

***

entry B (68 meV/atom below the next structure)